1.
Below is a relaxed SrTc3P3 crystal, with properties calculated at the GGA-PBE level.

a b c (Å): 8.477 8.477 4.372
angles (deg): 90.00 90.00 120.00
Atoms (fractional coordinates):
1 Sr 0.333 0.667 0.250
2 Sr 0.667 0.333 0.750
3 Tc 0.048 0.205 0.250
4 Tc 0.157 0.952 0.250
5 Tc 0.205 0.157 0.750
6 Tc 0.795 0.843 0.250
7 Tc 0.843 0.048 0.750
8 Tc 0.952 0.795 0.750
9 P 0.083 0.366 0.750
10 P 0.283 0.917 0.750
11 P 0.366 0.283 0.250
12 P 0.634 0.717 0.750
13 P 0.717 0.083 0.250
14 P 0.917 0.634 0.250

## Properties
Uncorrected energy (eV/cell): -106.2
Theoretical density (g/cm3): 5.792
M_tot (μB per cell): 0.000

2.
Below is a relaxed NbCr2TeSe crystal, with properties calculated at the GGA-PBE level.

a b c (Å): 4.597 4.597 5.743
angles (deg): 90.00 90.00 90.00
Atoms (fractional coordinates):
1 Nb 0.000 0.000 0.000
2 Cr 0.000 0.500 0.500
3 Cr 0.500 0.000 0.500
4 Te 0.500 0.500 0.000
5 Se 0.500 0.500 0.500

## Properties
ΔE_f (raw) (eV per atom): 1.01
Uncorrected energy (eV/cell): -30.9
Theoretical density (g/cm3): 5.520
M_tot (μB per cell): 4.646

3.
Below is a relaxed KLiRe2 crystal, with properties calculated at the GGA-PBE level.

a b c (Å): 2.767 5.612 4.688
angles (deg): 90.00 92.22 90.00
Atoms (fractional coordinates):
1 K 0.000 0.000 0.000
2 Li 0.500 0.000 0.500
3 Re 0.292 0.500 0.746
4 Re 0.708 0.500 0.254

## Properties
Uncorrected energy (eV/cell): -23.9
Theoretical density (g/cm3): 9.552
M_tot (μB per cell): 0.000
Offset from the most stable computed form (meV per atom): 375.7

4.
Below is a relaxed Li4LuTl crystal, with properties calculated at the GGA-PBE level.

a b c (Å): 5.486 5.486 5.486
angles (deg): 60.00 60.00 60.00
Atoms (fractional coordinates):
1 Li 0.125 0.125 0.125
2 Li 0.125 0.125 0.626
3 Li 0.125 0.626 0.125
4 Li 0.626 0.125 0.125
5 Lu 0.500 0.500 0.500
6 Tl 0.750 0.750 0.750

## Properties
Uncorrected energy (eV/cell): -15.0
Theoretical density (g/cm3): 5.791
M_tot (μB per cell): 0.000

5.
Below is a relaxed CdNi2Ag2 crystal, with properties calculated at the GGA-PBE level.

a b c (Å): 7.456 7.456 2.904
angles (deg): 90.00 90.00 90.00
Atoms (fractional coordinates):
1 Cd 0.000 0.000 0.000
2 Cd 0.500 0.500 0.000
3 Ni 0.163 0.337 0.500
4 Ni 0.337 0.837 0.500
5 Ni 0.663 0.163 0.500
6 Ni 0.837 0.663 0.500
7 Ag 0.134 0.634 0.000
8 Ag 0.366 0.134 0.000
9 Ag 0.634 0.866 0.000
10 Ag 0.866 0.366 0.000

## Properties
Uncorrected energy (eV/cell): -33.4
Theoretical density (g/cm3): 9.165
M_tot (μB per cell): 0.000
Offset from the most stable computed form (meV per atom): 65.7

6.
Below is a relaxed CsMg2MnTc crystal, with properties calculated at the GGA-PBE level.

a b c (Å): 5.814 5.814 5.067
angles (deg): 90.00 90.00 90.00
Atoms (fractional coordinates):
1 Cs 0.000 0.000 0.000
2 Mg 0.000 0.500 0.000
3 Mg 0.500 0.000 0.000
4 Mn 0.500 0.500 0.500
5 Tc 0.000 0.000 0.500

## Properties
Uncorrected energy (eV/cell): -12.2
Theoretical density (g/cm3): 3.242
M_tot (μB per cell): 6.519

7.
Below is a relaxed AlNi4Mo crystal, with properties calculated at the GGA-PBE level.

a b c (Å): 4.702 4.702 4.702
angles (deg): 60.00 60.00 60.00
Atoms (fractional coordinates):
1 Al 0.000 0.000 0.000
2 Ni 0.375 0.375 0.375
3 Ni 0.375 0.375 0.875
4 Ni 0.375 0.875 0.375
5 Ni 0.875 0.375 0.375
6 Mo 0.750 0.750 0.750

## Properties
Uncorrected energy (eV/cell): -38.3
Theoretical density (g/cm3): 8.080
M_tot (μB per cell): 1.532

8.
Below is a relaxed CaEuPbAu crystal, with properties calculated at the GGA-PBE level.

a b c (Å): 5.413 5.413 5.413
angles (deg): 60.00 60.00 60.00
Atoms (fractional coordinates):
1 Ca 0.000 0.000 0.000
2 Eu 0.500 0.500 0.500
3 Pb 0.750 0.750 0.750
4 Au 0.250 0.250 0.250

## Properties
Uncorrected energy (eV/cell): -21.8
Theoretical density (g/cm3): 8.829
M_tot (μB per cell): 6.877

9.
Below is a relaxed NaTi2S4 crystal, with properties calculated at the GGA-PBE level.

a b c (Å): 6.142 6.142 12.399
angles (deg): 90.00 90.00 146.60
Atoms (fractional coordinates):
1 Na 0.111 0.889 0.750
2 Na 0.889 0.111 0.250
3 Ti 0.369 0.631 0.567
4 Ti 0.369 0.631 0.933
5 Ti 0.631 0.369 0.067
6 Ti 0.631 0.369 0.433
7 S 0.000 0.000 0.000
8 S 0.000 0.000 0.500
9 S 0.270 0.730 0.110
10 S 0.270 0.730 0.390
11 S 0.428 0.572 0.750
12 S 0.572 0.428 0.250
13 S 0.730 0.270 0.610
14 S 0.730 0.270 0.890

## Properties
ΔE_f (raw) (eV per atom): -1.28
Uncorrected energy (eV/cell): -85.1
Theoretical density (g/cm3): 3.185
M_tot (μB per cell): 0.000
Offset from the most stable computed form (meV per atom): 96.1

10.
Below is a relaxed Na3CdBr crystal, with properties calculated at the GGA-PBE level.

a b c (Å): 5.847 5.847 5.847
angles (deg): 90.00 90.00 90.00
Atoms (fractional coordinates):
1 Na 0.000 0.000 0.500
2 Na 0.000 0.500 0.000
3 Na 0.500 0.000 0.000
4 Cd 0.000 0.000 0.000
5 Br 0.500 0.500 0.500

## Properties
ΔE_f (raw) (eV per atom): -0.16
Uncorrected energy (eV/cell): -7.3
Theoretical density (g/cm3): 2.170
M_tot (μB per cell): 0.000
Offset from the most stable computed form (meV per atom): 270.8

11.
Below is a relaxed Mn2In2P crystal, with properties calculated at the GGA-PBE level.

a b c (Å): 6.226 6.226 4.458
angles (deg): 90.00 90.00 90.00
Atoms (fractional coordinates):
1 Mn 0.160 0.340 0.000
2 Mn 0.340 0.840 0.000
3 Mn 0.660 0.160 0.000
4 Mn 0.840 0.660 0.000
5 In 0.162 0.662 0.500
6 In 0.338 0.162 0.500
7 In 0.662 0.838 0.500
8 In 0.838 0.338 0.500
9 P 0.000 0.000 0.000
10 P 0.500 0.500 0.000

## Properties
Uncorrected energy (eV/cell): -57.7
Theoretical density (g/cm3): 7.122
M_tot (μB per cell): 10.403

12.
Below is a relaxed CsLiTi2C crystal, with properties calculated at the GGA-PBE level.

a b c (Å): 4.324 4.324 5.579
angles (deg): 90.00 90.00 90.00
Atoms (fractional coordinates):
1 Cs 0.000 0.000 0.000
2 Li 0.500 0.500 0.000
3 Ti 0.000 0.500 0.500
4 Ti 0.500 0.000 0.500
5 C 0.500 0.500 0.500

## Properties
Uncorrected energy (eV/cell): -24.3
Theoretical density (g/cm3): 3.941
M_tot (μB per cell): 2.565